A plane-wave DFT calculation with PBE was carried out for a relaxed structure of Cr2OsRu. Values from VASP.

## Properties
**Total magnetization**: 0.000 μB per cell
**Energy above the lowest structure with this stoichiometry**: 4.4 kJ/mol of atoms
**E**: -9.798 eV per atom
**Formation enthalpy at 0 K**: 0.140 eV per atom

```
&SYSTEM
  ibrav = 0, nat = 4, ntyp = 3
/
ATOMIC_SPECIES
Cr 52.00 Cr.upf
Os 190.23 Os.upf
Ru 101.07 Ru.upf
ATOMIC_POSITIONS crystal
Cr 0.000 0.000 0.000
Cr 0.500 0.500 0.199
Os 0.000 0.000 0.448
Ru 0.500 0.500 0.751
CELL_PARAMETERS angstrom
2.852 0.000 0.000
0.000 2.852 0.000
0.000 0.000 6.373
```